(i)
A plane-wave DFT calculation with GGA-PBE was carried out for crystalline La2HgTe2 at its relaxed geometry.

```
La2HgTe2
1.0
8.8693 0.0000 0.0000
0.0000 8.8693 0.0000
0.0000 0.0000 4.0687
La Te Hg
4 4 2
direct
0.8437 0.3437 0.5000
0.6563 0.8437 0.5000
0.1563 0.6563 0.5000
0.3437 0.1563 0.5000
0.8592 0.6408 0.0000
0.6408 0.1408 0.0000
0.1408 0.3592 0.0000
0.3592 0.8592 0.0000
0.0000 0.0000 0.0000
0.5000 0.5000 0.0000
```

Magnetization, μB per formula unit: 0.00
Space group: P4/mbm
DOS at the Fermi energy, states/eV/atom: 0.681

***

(ii)
A plane-wave DFT calculation with GGA-PBE was carried out for crystalline La2HgTe2 at its relaxed geometry.

```
La2HgTe2
1.0
8.7527 0.0000 0.0000
0.0000 8.7527 0.0000
0.0000 0.0000 4.2146
Hg Te La
2 4 4
direct
0.5000 0.5000 0.0000
0.0000 0.0000 0.0000
0.1469 0.6469 0.5000
0.8531 0.3531 0.5000
0.3531 0.1469 0.5000
0.6469 0.8531 0.5000
0.8464 0.6536 0.0000
0.1536 0.3464 0.0000
0.3464 0.8464 0.0000
0.6536 0.1536 0.0000
```

Magnetization, μB per formula unit: 0.00
Space group: P4/mbm
DOS at the Fermi energy, states/eV/atom: 0.919

***

(iii)
A plane-wave DFT calculation with GGA-PBE was carried out for crystalline La2HgTe2 at its relaxed geometry.

```
La2HgTe2
1.0
-4.1135 3.8867 -0.4551
-2.3442 -1.9187 4.8018
0.3437 5.1648 5.5880
Te Hg La
2 1 2
direct
0.3561 0.3561 0.2879
0.6439 0.6439 0.7121
0.0000 0.0000 0.0000
0.2500 0.7500 0.5000
0.7500 0.2500 0.5000
```

Magnetization, μB per formula unit: 0.00
Space group: I4/mmm
DOS at the Fermi energy, states/eV/atom: 0.279

***

Most stable one: (ii), least stable one: (iii).